# LiTmHg2

LiTmHg2 after structural relaxation (PBEsol, the Alexandria database).

Electronic total energy   -10.06 eV per formula unit
ΔH_f (0 K)   -516 meV/atom

```
data_LiTmHg2
_chemical_formula_sum 'Li1 Tm1 Hg2'
_symmetry_space_group_name_H-M 'P 1'
_symmetry_Int_Tables_number 1
_symmetry_space_group_name_Hall 'P 1'
_cell_length_a 4.887
_cell_length_b 4.887
_cell_length_c 4.887
_cell_angle_alpha 60.00
_cell_angle_beta 60.00
_cell_angle_gamma 60.00
loop_
_atom_site_label
_atom_site_fract_x
_atom_site_fract_y
_atom_site_fract_z
Hg1 0.250 0.250 0.250
Hg2 0.750 0.750 0.750
Tm1 0.000 0.000 0.000
Li1 0.500 0.500 0.500
```

---

# LiHgW2

LiHgW2 after structural relaxation (PBEsol, the Alexandria database).

Electronic total energy   -28.88 eV per formula unit
ΔH_f (0 K)   317 meV/atom

```
data_LiHgW2
_chemical_formula_sum 'Li1 Hg1 W2'
_symmetry_space_group_name_H-M 'P 1'
_symmetry_Int_Tables_number 1
_symmetry_space_group_name_Hall 'P 1'
_cell_length_a 2.753
_cell_length_b 2.753
_cell_length_c 9.270
_cell_angle_alpha 90.00
_cell_angle_beta 90.00
_cell_angle_gamma 109.49
loop_
_atom_site_label
_atom_site_fract_x
_atom_site_fract_y
_atom_site_fract_z
W1 0.500 0.500 0.766
W2 0.000 0.000 0.997
Hg1 0.000 0.000 0.491
Li1 0.500 0.500 0.247
```

---

# LiHg2W

LiHg2W after structural relaxation (PBEsol, the Alexandria database).

Electronic total energy   -15.85 eV per formula unit
ΔH_f (0 K)   263 meV/atom

```
data_LiHg2W
_chemical_formula_sum 'Li1 Hg2 W1'
_symmetry_space_group_name_H-M 'P 1'
_symmetry_Int_Tables_number 1
_symmetry_space_group_name_Hall 'P 1'
_cell_length_a 2.900
_cell_length_b 4.908
_cell_length_c 4.908
_cell_angle_alpha 90.00
_cell_angle_beta 90.00
_cell_angle_gamma 90.00
loop_
_atom_site_label
_atom_site_fract_x
_atom_site_fract_y
_atom_site_fract_z
W1 0.500 0.500 0.125
Hg1 0.000 0.000 0.125
Hg2 0.000 0.500 0.625
Li1 0.500 0.000 0.625
```

---

# Li2HgW

Li2HgW after structural relaxation (PBEsol, the Alexandria database).

Electronic total energy   -17.16 eV per formula unit
ΔH_f (0 K)   288 meV/atom

```
data_Li2HgW
_chemical_formula_sum 'Li2 Hg1 W1'
_symmetry_space_group_name_H-M 'P 1'
_symmetry_Int_Tables_number 1
_symmetry_space_group_name_Hall 'P 1'
_cell_length_a 2.682
_cell_length_b 2.682
_cell_length_c 9.049
_cell_angle_alpha 90.00
_cell_angle_beta 90.00
_cell_angle_gamma 90.00
loop_
_atom_site_label
_atom_site_fract_x
_atom_site_fract_y
_atom_site_fract_z
Hg1 0.500 0.500 0.500
Li1 0.000 0.000 0.754
Li2 0.000 0.000 0.246
W1 0.500 0.500 0.000
```

---

# LiHgW2

LiHgW2 after structural relaxation (PBEsol, the Alexandria database).

Electronic total energy   -28.38 eV per formula unit
ΔH_f (0 K)   442 meV/atom

```
data_LiHgW2
_chemical_formula_sum 'Li1 Hg1 W2'
_symmetry_space_group_name_H-M 'P 1'
_symmetry_Int_Tables_number 1
_symmetry_space_group_name_Hall 'P 1'
_cell_length_a 3.242
_cell_length_b 4.123
_cell_length_c 4.702
_cell_angle_alpha 90.00
_cell_angle_beta 90.00
_cell_angle_gamma 90.00
loop_
_atom_site_label
_atom_site_fract_x
_atom_site_fract_y
_atom_site_fract_z
W1 0.500 0.500 0.000
W2 0.000 0.000 0.000
Hg1 0.500 0.000 0.500
Li1 0.000 0.500 0.500
```

---

# Li2HgW

Li2HgW after structural relaxation (PBEsol, the Alexandria database).

Electronic total energy   -15.55 eV per formula unit
ΔH_f (0 K)   689 meV/atom

```
data_Li2HgW
_chemical_formula_sum 'Li2 Hg1 W1'
_symmetry_space_group_name_H-M 'P 1'
_symmetry_Int_Tables_number 1
_symmetry_space_group_name_Hall 'P 1'
_cell_length_a 3.964
_cell_length_b 3.964
_cell_length_c 4.972
_cell_angle_alpha 113.49
_cell_angle_beta 113.49
_cell_angle_gamma 90.00
loop_
_atom_site_label
_atom_site_fract_x
_atom_site_fract_y
_atom_site_fract_z
Li1 0.250 0.750 0.500
Li2 0.750 0.250 0.500
Hg1 0.000 0.000 0.000
W1 0.500 0.500 0.000
```

---

# LiHgW2

LiHgW2 after structural relaxation (PBEsol, the Alexandria database).

Electronic total energy   -27.96 eV per formula unit
ΔH_f (0 K)   546 meV/atom

```
data_LiHgW2
_chemical_formula_sum 'Li1 Hg1 W2'
_symmetry_space_group_name_H-M 'P 1'
_symmetry_Int_Tables_number 1
_symmetry_space_group_name_Hall 'P 1'
_cell_length_a 2.776
_cell_length_b 4.763
_cell_length_c 5.605
_cell_angle_alpha 113.28
_cell_angle_beta 101.35
_cell_angle_gamma 96.88
loop_
_atom_site_label
_atom_site_fract_x
_atom_site_fract_y
_atom_site_fract_z
W1 0.000 0.000 0.500
W2 0.500 0.500 0.500
Li1 0.000 0.500 0.000
Hg1 0.500 0.000 0.000
```

---

# Li2YHg2

Li2YHg2 after structural relaxation (PBEsol, the Alexandria database).

Electronic total energy   -13.83 eV per formula unit
ΔH_f (0 K)   -389 meV/atom

```
data_Li2YHg2
_chemical_formula_sum 'Li4 Y2 Hg4'
_symmetry_space_group_name_H-M 'P 1'
_symmetry_Int_Tables_number 1
_symmetry_space_group_name_Hall 'P 1'
_cell_length_a 3.209
_cell_length_b 7.791
_cell_length_c 7.791
_cell_angle_alpha 90.00
_cell_angle_beta 90.00
_cell_angle_gamma 90.00
loop_
_atom_site_label
_atom_site_fract_x
_atom_site_fract_y
_atom_site_fract_z
Li1 0.000 0.114 0.386
Li2 0.000 0.614 0.114
Li3 0.000 0.386 0.886
Li4 0.000 0.886 0.614
Y1 0.000 0.000 0.000
Y2 0.000 0.500 0.500
Hg1 0.500 0.185 0.685
Hg2 0.500 0.315 0.185
Hg3 0.500 0.685 0.815
Hg4 0.500 0.815 0.315
```

---

Q: What is the formula in the sixth record?
A: Li2HgW